MgAgPb2: relaxed, GGA-PBEsol.

## Properties
- Energy of formation from the pure elements: 0.04 eV per atom

Cell lengths 10.0725, 3.3990, 5.7890 Å; angles 90.00, 101.86, 90.00 degrees
Closest atoms and distances in Å follow each position.
Space group C2/m (No. 12)
Symmetry-distinct sites (fractional):
1 Mg 0.0000 0.0000 0.0000 [2 per cell]  6 Pb 3.11-3.21, 4 Ag 3.36, 2 Mg 3.40
2 Ag 0.0000 0.5000 0.5000 [2 per cell]  6 Pb 3.06-3.20, 4 Mg 3.36, 2 Ag 3.40
3 Pb 0.2418 0.0000 0.7422 [4 per cell]  3 Ag 3.06-3.20, 3 Mg 3.11-3.21, 6 Pb 3.31-3.41

=====

CaAg2Au: relaxed, GGA-PBEsol.

## Properties
- Energy of formation from the pure elements: -0.32 eV per atom

Cell lengths 4.3224, 4.3224, 8.2065 Å; angles 90.00, 90.00, 90.00 degrees
Closest atoms and distances in Å follow each position.
Space group I-4m2 (No. 119)
Symmetry-distinct sites (fractional):
1 Ca 0.0000 0.0000 0.0000 [2 per cell]  4 Au 2.98, 8 Ag 2.98-3.06
2 Ag 0.0000 0.0000 0.5000 [2 per cell]  4 Ag 2.98, 4 Au 2.98, 4 Ca 3.06
3 Ag 0.0000 0.5000 0.2500 [2 per cell]  4 Ca 2.98, 4 Ag 2.98, 4 Au 3.06
4 Au 0.0000 0.5000 0.7500 [2 per cell]  4 Ca 2.98, 8 Ag 2.98-3.06

=====

TcAsAu2: relaxed, GGA-PBEsol.

## Properties
- Energy of formation from the pure elements: 0.35 eV per atom

Cell lengths 2.8502, 2.8502, 27.9616 Å; angles 90.00, 90.00, 120.00 degrees
Closest atoms and distances in Å follow each position.
Space group R-3m (No. 166, hexagonal axes)
Symmetry-distinct sites (fractional):
1 Tc 0.0000 0.0000 0.0000 [3 per cell]  6 Au 2.78, 6 Tc 2.85
2 As 0.0000 0.0000 0.5000 [3 per cell]  6 As 2.85, 6 Au 2.93
3 Au 0.0000 0.0000 0.2532 [6 per cell]  3 Tc 2.78, 6 Au 2.85, 3 As 2.93

=====

SrCd2Pb2: relaxed, GGA-PBEsol.

## Properties
- Energy of formation from the pure elements: -0.22 eV per atom

Cell lengths 4.5962, 4.5962, 13.7454 Å; angles 90.00, 90.00, 90.00 degrees
Closest atoms and distances in Å follow each position.
Space group I4/mmm (No. 139)
Symmetry-distinct sites (fractional):
1 Sr 0.0000 0.0000 0.0000 [2 per cell]  8 Pb 3.59
2 Cd 0.0000 0.5000 0.2500 [4 per cell]  4 Pb 2.99, 4 Cd 3.25
3 Pb 0.0000 0.0000 0.3887 [4 per cell]  4 Cd 2.99, 1 Pb 3.06

=====

GaCo3Ru: relaxed, GGA-PBEsol.

## Properties
- Energy of formation from the pure elements: 1.34 eV per atom

Cell lengths 4.1723, 4.1723, 4.1723 Å; angles 90.00, 90.00, 90.00 degrees
Closest atoms and distances in Å follow each position.
Space group Pm-3m (No. 221)
Symmetry-distinct sites (fractional):
1 Ga 0.0000 0.0000 0.0000 [1 per cell]  6 Co 2.09
2 Co 0.0000 0.0000 0.5000 [3 per cell]  2 Ga 2.09
3 Ru 0.5000 0.5000 0.5000 [1 per cell]  12 Co 2.95

=====

AsC3: relaxed, GGA-PBEsol.

## Properties
- Distance to the lowest polymorph of the same formula: 1318.9 meV per atom
- Energy of formation from the pure elements: 2.23 eV per atom

Cell lengths 2.4994, 4.6528, 7.0153 Å; angles 90.00, 90.00, 90.00 degrees
Closest atoms and distances in Å follow each position.
Space group Immm (No. 71)
Symmetry-distinct sites (fractional):
1 As 0.0000 0.0000 0.0000 [2 per cell]  2 As 2.50, 8 C 2.51-2.64
2 C 0.0000 0.0000 0.5000 [2 per cell]  4 C 1.56
3 C 0.0000 0.5000 0.1330 [4 per cell]  2 C 1.56

=====

SrGa2MoOs: relaxed, GGA-PBEsol.

## Properties
- Energy of formation from the pure elements: 0.44 eV per atom

Cell lengths 4.8990, 4.8990, 4.7191 Å; angles 90.00, 90.00, 90.00 degrees
Closest atoms and distances in Å follow each position.
Space group P4/mmm (No. 123)
Symmetry-distinct sites (fractional):
1 Sr 0.0000 0.0000 0.0000 [1 per cell]  8 Ga 3.40, 4 Os 3.46
2 Ga 0.0000 0.5000 0.5000 [2 per cell]  2 Mo 2.45
3 Mo 0.5000 0.5000 0.5000 [1 per cell]  2 Os 2.36, 4 Ga 2.45
4 Os 0.5000 0.5000 0.0000 [1 per cell]  2 Mo 2.36

=====

Y2AlH2: relaxed, GGA-PBEsol.

## Properties
- DFT total energy: -55.0 eV per cell

Cell lengths 3.6253, 3.6253, 12.1460 Å; angles 90.00, 90.00, 90.00 degrees
Closest atoms and distances in Å follow each position.
Space group I4/mmm (No. 139)
Symmetry-distinct sites (fractional):
1 Y 0.0000 0.0000 0.1481 [4 per cell]  4 H 2.20
2 Al 0.0000 0.0000 0.5000 [2 per cell]  8 Y 3.13
3 H 0.0000 0.5000 0.2500 [4 per cell]  4 Y 2.20